Record 1
{
  "formula": "Cu10Te",
  "functional": "PBE",
  "state": "optimized geometry",
  "crystal_system": "triclinic",
  "lattice": [[6.7565, 0.0000, 0.0000], [-0.4789, 8.5659, 0.0000], [-0.7842, -0.9793, 16.9703]],
  "species": ["Cu", "Cu", "Cu", "Cu", "Cu", "Cu", "Cu", "Cu", "Cu", "Cu", "Cu", "Cu", "Cu", "Cu", "Cu", "Cu", "Cu", "Cu", "Cu", "Cu", "Cu", "Cu", "Cu", "Cu", "Cu", "Cu", "Cu", "Cu", "Cu", "Cu", "Cu", "Cu", "Cu", "Cu", "Cu", "Cu", "Cu", "Cu", "Cu", "Cu", "Cu", "Cu", "Cu", "Cu", "Cu", "Cu", "Cu", "Cu", "Cu", "Cu", "Cu", "Cu", "Cu", "Cu", "Cu", "Cu", "Cu", "Cu", "Cu", "Cu", "Te", "Te", "Te", "Te", "Te", "Te"],
  "frac_coords": [[0.4796, 0.8030, 0.7023], [0.1257, 0.2256, 0.7252], [0.6127, 0.7960, 0.5597], [0.1903, 0.4714, 0.6556], [0.7042, 0.8950, 0.8278], [0.5180, 0.6938, 0.2975], [0.3357, 0.8117, 0.8462], [0.9675, 0.3781, 0.5356], [0.3229, 0.4584, 0.5122], [0.1001, 0.3668, 0.3909], [0.1204, 0.7245, 0.7288], [0.4071, 0.5581, 0.7742], [0.7435, 0.2860, 0.4171], [0.6122, 0.2959, 0.5595], [0.6569, 0.6844, 0.1528], [0.3431, 0.3156, 0.8472], [0.1654, 0.1134, 0.3173], [0.5487, 0.0506, 0.6314], [0.2557, 0.2141, 0.5842], [0.9661, 0.8770, 0.5362], [0.7734, 0.1393, 0.7535], [0.0339, 0.1230, 0.4638], [0.4519, 0.4489, 0.3680], [0.6976, 0.3892, 0.8249], [0.4513, 0.9494, 0.3686], [0.1874, 0.9671, 0.6545], [0.3878, 0.7041, 0.4405], [0.7443, 0.7859, 0.4158], [0.5860, 0.9414, 0.2323], [0.3024, 0.6108, 0.1751], [0.8796, 0.2755, 0.2712], [0.5481, 0.5511, 0.6320], [0.4820, 0.3062, 0.7025], [0.9003, 0.1325, 0.6076], [0.5204, 0.1970, 0.2977], [0.8347, 0.3887, 0.6801], [0.0325, 0.6219, 0.4644], [0.1653, 0.6113, 0.3199], [0.8999, 0.6332, 0.6091], [0.6643, 0.1883, 0.1538], [0.2565, 0.7140, 0.5829], [0.8346, 0.8866, 0.6827], [0.0997, 0.8675, 0.3924], [0.3228, 0.9596, 0.5122], [0.8743, 0.7744, 0.2748], [0.8097, 0.5286, 0.3444], [0.6771, 0.5416, 0.4878], [0.3873, 0.2040, 0.4403], [0.9420, 0.5192, 0.1988], [0.0580, 0.4808, 0.8012], [0.8126, 0.0329, 0.3455], [0.5929, 0.4419, 0.2258], [0.6772, 0.0404, 0.4878], [0.0617, 0.9805, 0.8023], [0.9383, 0.0195, 0.1977], [0.2266, 0.8607, 0.2465], [0.2277, 0.3555, 0.2428], [0.2958, 0.1050, 0.1722], [0.4140, 0.0586, 0.7677], [0.7723, 0.6445, 0.7572], [0.3943, 0.3660, 0.0921], [0.9840, 0.2426, 0.8914], [0.5161, 0.9245, 0.0821], [0.0160, 0.7574, 0.1086], [0.6057, 0.6340, 0.9079], [0.4839, 0.0755, 0.9179]]
}



Record 2
{
  "formula": "Cu14Te3",
  "functional": "PBE",
  "state": "optimized geometry",
  "crystal_system": "triclinic",
  "lattice": [[-2.9738, 1.4216, 2.8927], [2.1787, -4.6469, 4.5032], [17.6724, 16.9116, 8.4028]],
  "species": ["Te", "Te", "Te", "Te", "Te", "Te", "Cu", "Cu", "Cu", "Cu", "Cu", "Cu", "Cu", "Cu", "Cu", "Cu", "Cu", "Cu", "Cu", "Cu", "Cu", "Cu", "Cu", "Cu", "Cu", "Cu", "Cu", "Cu", "Cu", "Cu", "Cu", "Cu", "Cu", "Cu"],
  "frac_coords": [[0.9931, 0.3985, 0.1863], [0.3779, 0.6816, 0.2669], [0.6681, 0.1241, 0.2414], [0.3319, 0.8759, 0.7586], [0.0069, 0.6015, 0.8137], [0.6221, 0.3184, 0.7331], [0.5529, 0.8902, 0.3562], [0.7964, 0.6898, 0.7138], [0.4471, 0.1098, 0.6438], [0.1032, 0.5350, 0.5850], [0.2036, 0.3102, 0.2862], [0.7182, 0.2443, 0.3388], [0.9399, 0.1782, 0.5985], [0.0601, 0.8218, 0.4015], [0.2818, 0.7557, 0.6612], [0.4328, 0.2525, 0.5532], [0.9200, 0.3223, 0.5074], [0.9488, 0.0408, 0.6913], [0.3872, 0.5295, 0.3676], [0.7342, 0.1074, 0.4311], [0.2244, 0.1788, 0.3843], [0.2450, 0.0379, 0.4773], [0.8836, 0.6035, 0.3233], [0.8968, 0.4650, 0.4150], [0.2658, 0.8926, 0.5689], [0.5672, 0.7475, 0.4468], [0.4081, 0.3944, 0.4609], [0.0512, 0.9592, 0.3087], [0.1164, 0.3965, 0.6767], [0.7756, 0.8212, 0.6157], [0.7550, 0.9621, 0.5227], [0.6128, 0.4705, 0.6324], [0.0800, 0.6777, 0.4926], [0.5919, 0.6056, 0.5391]]
}



Record 3
{
  "formula": "Cu15Te8",
  "functional": "PBE",
  "state": "optimized geometry",
  "crystal_system": "trigonal",
  "lattice": [[-4.9821, 3.2335, -5.9317], [-3.3572, -3.8655, 6.6520], [-0.9957, 37.2127, 21.1217]],
  "species": ["Cu", "Cu", "Cu", "Cu", "Cu", "Cu", "Cu", "Cu", "Cu", "Cu", "Cu", "Cu", "Cu", "Cu", "Cu", "Cu", "Cu", "Cu", "Cu", "Cu", "Cu", "Cu", "Cu", "Cu", "Cu", "Cu", "Cu", "Cu", "Cu", "Cu", "Cu", "Cu", "Cu", "Cu", "Cu", "Cu", "Cu", "Cu", "Cu", "Cu", "Cu", "Cu", "Cu", "Cu", "Cu", "Te", "Te", "Te", "Te", "Te", "Te", "Te", "Te", "Te", "Te", "Te", "Te", "Te", "Te", "Te", "Te", "Te", "Te", "Te", "Te", "Te", "Te", "Te", "Te"],
  "frac_coords": [[0.1567, 0.8433, 0.5720], [0.3333, 0.6667, 0.5644], [0.6667, 0.3333, 0.6918], [0.3053, 0.1527, 0.7806], [0.9930, 0.4965, 0.7637], [0.3626, 0.1813, 0.7222], [0.6667, 0.3333, 0.8562], [0.3395, 0.1697, 0.5514], [0.3668, 0.1834, 0.8902], [0.1560, 0.8440, 0.7398], [0.8166, 0.1834, 0.8902], [0.5009, 0.0019, 0.9319], [0.6865, 0.8433, 0.5720], [0.3314, 0.1657, 0.9503], [0.1560, 0.3120, 0.7398], [0.4998, 0.9996, 0.5958], [0.8166, 0.6332, 0.8902], [0.3065, 0.1532, 0.6119], [0.5009, 0.4991, 0.9319], [0.5035, 0.0070, 0.7637], [0.1557, 0.8443, 0.9070], [0.6880, 0.8440, 0.7398], [0.0000, 0.0000, 0.8111], [0.3333, 0.6667, 0.7423], [0.1557, 0.3114, 0.9070], [0.8343, 0.6686, 0.9503], [0.6667, 0.3333, 0.5655], [0.8343, 0.1657, 0.9503], [0.0004, 0.5002, 0.5958], [0.8473, 0.6947, 0.7806], [0.8468, 0.1532, 0.6119], [0.0000, 0.0000, 0.6448], [0.8187, 0.6374, 0.7222], [0.6886, 0.8443, 0.9070], [0.8473, 0.1527, 0.7806], [0.9981, 0.4991, 0.9319], [0.5035, 0.4965, 0.7637], [0.0000, 0.0000, 0.9453], [0.8187, 0.1813, 0.7222], [0.4998, 0.5002, 0.5958], [0.1567, 0.3135, 0.5720], [0.8303, 0.1697, 0.5514], [0.8303, 0.6605, 0.5514], [0.8468, 0.6935, 0.6119], [0.3333, 0.6667, 0.9128], [0.0000, 0.0000, 0.8740], [0.6667, 0.3333, 0.6287], [0.1819, 0.8181, 0.8007], [0.1812, 0.3624, 0.6324], [0.1819, 0.3638, 0.8007], [0.0289, 0.5145, 0.7016], [0.4858, 0.5142, 0.8701], [0.1783, 0.8217, 0.9684], [0.6435, 0.8217, 0.9684], [0.4928, 0.5072, 0.5331], [0.0000, 0.0000, 0.7075], [0.4928, 0.9857, 0.5331], [0.4858, 0.9715, 0.8701], [0.1812, 0.8188, 0.6324], [0.0000, 0.0000, 0.5360], [0.0285, 0.5142, 0.8701], [0.6667, 0.3333, 0.9664], [0.6376, 0.8188, 0.6324], [0.6667, 0.3333, 0.7942], [0.4855, 0.5145, 0.7016], [0.4855, 0.9711, 0.7016], [0.6362, 0.8181, 0.8007], [0.1783, 0.3565, 0.9684], [0.0143, 0.5072, 0.5331]]
}



Record 4
{
  "formula": "Cu7Te4",
  "functional": "PBE",
  "state": "optimized geometry",
  "crystal_system": "monoclinic",
  "lattice": [[-4.0259, 5.5324, 2.3678], [-27.7644, -23.3983, 7.4636], [5.1233, -1.9093, 13.0731]],
  "species": ["Te", "Te", "Te", "Te", "Te", "Te", "Te", "Te", "Te", "Te", "Te", "Te", "Te", "Te", "Te", "Te", "Te", "Te", "Te", "Te", "Te", "Te", "Te", "Te", "Te", "Te", "Te", "Te", "Te", "Te", "Te", "Te", "Cu", "Cu", "Cu", "Cu", "Cu", "Cu", "Cu", "Cu", "Cu", "Cu", "Cu", "Cu", "Cu", "Cu", "Cu", "Cu", "Cu", "Cu", "Cu", "Cu", "Cu", "Cu", "Cu", "Cu", "Cu", "Cu", "Cu", "Cu", "Cu", "Cu", "Cu", "Cu", "Cu", "Cu", "Cu", "Cu", "Cu", "Cu", "Cu", "Cu", "Cu", "Cu", "Cu", "Cu", "Cu", "Cu", "Cu", "Cu", "Cu", "Cu", "Cu", "Cu", "Cu", "Cu", "Cu", "Cu"],
  "frac_coords": [[0.7665, 0.3627, 0.3326], [0.7632, 0.4747, 0.8315], [0.2378, 0.5874, 0.6633], [0.2536, 0.7102, 0.1524], [0.1969, 0.3596, 0.1472], [0.7917, 0.5284, 0.5740], [0.2324, 0.7027, 0.6587], [0.7914, 0.4744, 0.3544], [0.7656, 0.2899, 0.0634], [0.2083, 0.5284, 0.4260], [0.2156, 0.5856, 0.1476], [0.7742, 0.2995, 0.5788], [0.2335, 0.3627, 0.6674], [0.8031, 0.3596, 0.8528], [0.2028, 0.6332, 0.9240], [0.7622, 0.5874, 0.3367], [0.2104, 0.4116, 0.9248], [0.7464, 0.7102, 0.8476], [0.7960, 0.5347, 0.0753], [0.7676, 0.7027, 0.3413], [0.7972, 0.6332, 0.0760], [0.2086, 0.4744, 0.6456], [0.2368, 0.4747, 0.1685], [0.7844, 0.5856, 0.8524], [0.2258, 0.2995, 0.4212], [0.7920, 0.4262, 0.5758], [0.2040, 0.5347, 0.9247], [0.7896, 0.4116, 0.0752], [0.2344, 0.2899, 0.9366], [0.2104, 0.6532, 0.4192], [0.2080, 0.4262, 0.4242], [0.7896, 0.6532, 0.5808], [0.7699, 0.6459, 0.7649], [0.4330, 0.3127, 0.0830], [0.8674, 0.5897, 0.6690], [0.0726, 0.6850, 0.8159], [0.1284, 0.4738, 0.8317], [0.5653, 0.5263, 0.9132], [0.3096, 0.3091, 0.7755], [0.6817, 0.5250, 0.2453], [0.4347, 0.5263, 0.0868], [0.6629, 0.4265, 0.2423], [0.5820, 0.6453, 0.4181], [0.4286, 0.5340, 0.5847], [0.3714, 0.3217, 0.2689], [0.6675, 0.6914, 0.0150], [0.5769, 0.5841, 0.1708], [0.1250, 0.3631, 0.3353], [0.3228, 0.3643, 0.4799], [0.9274, 0.6850, 0.1841], [0.3341, 0.6460, 0.7570], [0.6659, 0.6460, 0.2430], [0.5638, 0.6419, 0.9084], [0.5802, 0.4208, 0.9152], [0.3183, 0.5250, 0.7547], [0.4373, 0.3675, 0.8297], [0.5627, 0.3675, 0.1703], [0.5719, 0.4751, 0.6706], [0.4231, 0.5841, 0.8292], [0.3396, 0.5372, 0.2602], [0.4362, 0.6419, 0.0916], [0.4281, 0.4751, 0.3294], [0.4198, 0.4208, 0.0848], [0.1326, 0.5897, 0.3310], [0.6904, 0.3091, 0.2245], [0.5711, 0.4172, 0.4146], [0.5675, 0.6922, 0.6958], [0.6792, 0.4117, 0.7439], [0.3208, 0.4117, 0.2561], [0.4271, 0.3134, 0.5854], [0.3301, 0.5910, 0.4795], [0.6604, 0.5372, 0.7398], [0.6286, 0.3217, 0.7311], [0.4289, 0.4172, 0.5854], [0.8716, 0.4738, 0.1683], [0.6772, 0.3643, 0.5201], [0.5714, 0.5340, 0.4153], [0.6699, 0.5910, 0.5205], [0.3371, 0.4265, 0.7577], [0.4325, 0.6922, 0.3042], [0.5729, 0.3134, 0.4146], [0.5670, 0.3127, 0.9170], [0.2301, 0.6459, 0.2351], [0.6713, 0.4736, 0.0188], [0.4180, 0.6453, 0.5819], [0.8750, 0.3631, 0.6647], [0.3287, 0.4736, 0.9812], [0.3325, 0.6914, 0.9850]]
}



| no. | excess energy over the best structure of this formula in the dataset (meV/atom) | final energy (eV for the cell shown) |
| --- | --- | --- |
| 1 | 44.8 | -238.9 |
| 2 | 0.0 | -121.7 |
| 3 | 4.9 | -245.6 |
| 4 | 68.9 | -308.4 |